No. 1
# Co3HgGe

A relaxed Co3HgGe crystal (GGA-PBE, the Alexandria database).

Cell: 4.746 4.746 4.746 Å, 90.00 90.00 90.00°
Site moments in Bohr magnetons follow the coordinates.
Fractional coordinates of all 5 atoms:
Ge: 0.500 0.500 0.500  -0.07
Co: 0.500 0.000 0.000  1.41
Co: 0.000 0.000 0.500  2.02
Co: 0.000 0.500 0.000  1.89
Hg: 0.000 0.000 0.000  -0.04

Values from the calculation:
ΔE to the lowest computed polymorph, meV per atom: 897
Energy relative to the elements, eV per formula unit: 8.3


No. 2
# KPa2AgS6

A relaxed KPa2AgS6 crystal (GGA-PBE, the Alexandria database).

Cell: 8.155 9.575 9.575 Å, 99.23 74.71 74.71°
Fractional coordinates of all 20 atoms:
S: 0.555 0.145 0.641
S: 0.314 0.217 0.075
S: 0.945 0.359 0.855
S: 0.468 0.462 0.327
S: 0.445 0.855 0.359
S: 0.532 0.538 0.673
S: 0.032 0.673 0.538
S: 0.814 0.075 0.217
S: 0.055 0.641 0.145
S: 0.686 0.783 0.925
S: 0.186 0.925 0.783
S: 0.968 0.327 0.462
K: 0.250 0.898 0.102
K: 0.750 0.102 0.898
Pa: 0.337 0.728 0.549
Pa: 0.663 0.272 0.451
Pa: 0.163 0.451 0.272
Pa: 0.837 0.549 0.728
Ag: 0.750 0.822 0.178
Ag: 0.250 0.178 0.822

Values from the calculation:
VASP energy, eV/atom: -5.8553


No. 3
# Tl2VCl6

A relaxed Tl2VCl6 crystal (GGA-PBE, the Alexandria database).

Cell: 7.102 7.186 9.936 Å, 90.00 89.62 90.00°
Site moments in Bohr magnetons follow the coordinates.
Fractional coordinates of all 18 atoms:
Tl: 0.992 0.453 0.247  -0.01
Tl: 0.492 0.047 0.747  -0.01
Tl: 0.008 0.547 0.753  -0.01
Tl: 0.508 0.953 0.253  -0.01
Cl: 0.196 0.257 0.524  -0.02
Cl: 0.450 0.504 0.231  -0.02
Cl: 0.257 0.802 0.526  -0.02
Cl: 0.696 0.243 0.024  -0.02
Cl: 0.550 0.496 0.769  -0.02
Cl: 0.743 0.198 0.474  -0.02
Cl: 0.243 0.302 0.974  -0.02
Cl: 0.050 0.004 0.269  -0.02
Cl: 0.757 0.698 0.026  -0.02
Cl: 0.304 0.757 0.976  -0.02
Cl: 0.804 0.743 0.476  -0.02
Cl: 0.950 0.996 0.731  -0.02
V: 0.000 0.000 0.500  1.07
V: 0.500 0.500 0.000  1.07

Values from the calculation:
ΔE to the lowest computed polymorph, meV per atom: 0


No. 4
# Pm6P2PtBr3

A relaxed Pm6P2PtBr3 crystal (GGA-PBE, the Alexandria database).

Cell: 4.085 8.888 9.714 Å, 105.69 102.14 90.00°
Fractional coordinates of all 12 atoms:
P: 0.167 0.337 0.335
P: 0.833 0.663 0.665
Pm: 0.990 0.779 0.980
Pm: 0.339 0.884 0.678
Pm: 0.678 0.558 0.356
Pm: 0.010 0.221 0.020
Pm: 0.322 0.442 0.644
Pm: 0.661 0.116 0.322
Br: 0.168 0.829 0.335
Br: 0.832 0.171 0.665
Br: 0.500 0.500 0.000
Pt: 0.500 0.000 0.000

Values from the calculation:
VASP energy, eV/atom: -5.5844


No. 5
# Ca8Tl2Au

A relaxed Ca8Tl2Au crystal (GGA-PBE, the Alexandria database).

Cell: 5.345 9.018 9.018 Å, 120.00 107.24 90.00°
Fractional coordinates of all 11 atoms:
Ca: 0.000 0.678 0.000
Ca: 0.130 0.130 0.259
Ca: 0.344 0.124 0.688
Ca: 0.344 0.564 0.688
Ca: 0.656 0.436 0.312
Ca: 0.870 0.870 0.741
Ca: 0.000 0.322 0.000
Ca: 0.656 0.876 0.312
Tl: 0.196 0.696 0.393
Tl: 0.804 0.304 0.607
Au: 0.500 0.000 0.000

Values from the calculation:
Energy relative to the elements, eV per formula unit: -3.0


No. 6
# LiHPt

A relaxed LiHPt crystal (GGA-PBE, the Alexandria database).

Cell: 4.103 3.075 3.075 Å, 120.00 90.00 90.00°
Fractional coordinates of all 3 atoms:
H: 0.114 0.000 0.000
Pt: 0.193 0.333 0.667
Li: 0.694 0.667 0.333

Values from the calculation:
VASP energy, eV/atom: -4.1075


No. 7
# U4Ge6Pt5

A relaxed U4Ge6Pt5 crystal (GGA-PBE, the Alexandria database).

Cell: 9.686 9.686 14.867 Å, 90.00 90.00 154.73°
Site moments in Bohr magnetons follow the coordinates.
Fractional coordinates of all 30 atoms:
Pt: 0.313 0.687 0.118  0.05
Pt: 0.661 0.339 0.288  -0.04
Pt: 0.847 0.153 0.629  0.05
Pt: 0.650 0.350 0.974  0.00
Pt: 0.687 0.313 0.618  0.05
Pt: 0.339 0.661 0.788  -0.04
Pt: 0.542 0.458 0.677  -0.05
Pt: 0.458 0.542 0.177  -0.05
Pt: 0.153 0.847 0.129  0.05
Pt: 0.350 0.650 0.474  0.00
Ge: 0.443 0.557 0.355  -0.04
Ge: 0.414 0.586 0.630  0.00
Ge: 0.773 0.227 0.489  0.01
Ge: 0.430 0.570 0.918  -0.03
Ge: 0.760 0.240 0.755  0.01
Ge: 0.109 0.891 0.613  -0.01
Ge: 0.227 0.773 0.989  0.01
Ge: 0.891 0.109 0.113  -0.01
Ge: 0.557 0.443 0.855  -0.04
Ge: 0.240 0.760 0.255  0.01
Ge: 0.570 0.430 0.418  -0.03
Ge: 0.586 0.414 0.130  0.00
U: 0.965 0.035 0.770  2.06
U: 0.035 0.965 0.270  2.06
U: 0.824 0.176 0.935  1.94
U: 0.841 0.159 0.306  2.17
U: 0.979 0.021 0.499  2.23
U: 0.159 0.841 0.806  2.17
U: 0.176 0.824 0.435  1.94
U: 0.021 0.979 0.999  2.23

Values from the calculation:
Energy relative to the elements, eV per formula unit: -6.6


No. 8
# Tm5Bi2PtC

A relaxed Tm5Bi2PtC crystal (GGA-PBE, the Alexandria database).

Cell: 4.605 4.605 10.776 Å, 90.00 90.00 90.00°
Fractional coordinates of all 9 atoms:
Tm: 0.500 0.500 0.000
Tm: 0.500 0.000 0.500
Tm: 0.000 0.000 0.247
Tm: 0.000 0.000 0.753
Tm: 0.000 0.500 0.500
C: 0.000 0.000 0.500
Bi: 0.500 0.500 0.288
Bi: 0.500 0.500 0.712
Pt: 0.000 0.000 0.000

Values from the calculation:
Energy relative to the elements, eV per formula unit: -5.5


No. 9
# BaSrGa2Ge2

A relaxed BaSrGa2Ge2 crystal (GGA-PBE, the Alexandria database).

Cell: 4.340 4.340 9.957 Å, 90.00 90.00 120.00°
Fractional coordinates of all 6 atoms:
Ba: 0.000 0.000 0.000
Sr: 0.000 0.000 0.500
Ga: 0.333 0.667 0.765
Ga: 0.667 0.333 0.235
Ge: 0.667 0.333 0.718
Ge: 0.333 0.667 0.282

Values from the calculation:
Energy relative to the elements, eV per formula unit: -3.2


No. 10
# Hg3Ru4

A relaxed Hg3Ru4 crystal (GGA-PBE, the Alexandria database).

Cell: 14.694 14.694 14.694 Å, 168.78 168.78 15.89°
Fractional coordinates of all 7 atoms:
Ru: 0.130 0.130 0.000
Ru: 0.425 0.425 0.000
Ru: 0.575 0.575 0.000
Ru: 0.870 0.870 0.000
Hg: 0.000 0.000 0.000
Hg: 0.296 0.296 0.000
Hg: 0.704 0.704 0.000

Values from the calculation:
ΔE to the lowest computed polymorph, meV per atom: 0
Energy relative to the elements, eV per formula unit: 2.1


No. 11
# KSb3Se

A relaxed KSb3Se crystal (GGA-PBE, the Alexandria database).

Cell: 5.587 5.587 5.587 Å, 90.00 90.00 90.00°
Fractional coordinates of all 5 atoms:
Sb: 0.500 0.000 0.000
Sb: 0.000 0.000 0.500
Sb: 0.000 0.500 0.000
K: 0.500 0.500 0.500
Se: 0.000 0.000 0.000

Values from the calculation:
ΔE to the lowest computed polymorph, meV per atom: 0


No. 12
# ScBe

A relaxed ScBe crystal (GGA-PBE, the Alexandria database).

Cell: 5.096 5.096 5.096 Å, 135.45 135.45 64.83°
Fractional coordinates of all 4 atoms:
Be: 0.000 0.000 0.000
Be: 0.250 0.750 0.500
Sc: 0.750 0.250 0.500
Sc: 0.500 0.500 0.000

Values from the calculation:
Energy relative to the elements, eV per formula unit: 0.5


Result set for total magnetic moment: 5.066, 0.000, 2.000, 0.000, 0.000, 0.000, 18.450, 0.000, 0.000, 0.000, 0.000, 0.000 μB per cell, one per record in the order listed.